This record from the Alexandria database describes a geometry-optimized MnAl2H5 structure. The functional is PBE.

Cell lengths 4.177, 4.177, 4.345 Å; angles 61.26, 61.27, 90.00 degrees
Element x y z (fractional)
Mn1 0.004 0.004 0.992
Al1 0.249 0.749 0.502
Al2 0.749 0.249 0.502
H1 0.727 0.727 0.013
H2 0.728 0.260 0.012
H3 0.259 0.727 0.014
H4 0.260 0.260 0.013
H5 0.247 0.247 0.505

Magnetic moment (μB per formula unit): 0.00
VASP energy (eV per atom): -4.2662



This record from the Alexandria database describes a geometry-optimized La3InIr8 structure. The functional is PBE.

Cell lengths 5.435, 5.435, 9.422 Å; angles 73.24, 73.24, 60.00 degrees
Element x y z (fractional)
La1 0.375 0.375 0.874
La2 0.997 0.997 0.008
La3 0.502 0.502 0.493
In1 0.874 0.874 0.378
Ir1 0.936 0.437 0.190
Ir2 0.441 0.938 0.684
Ir3 0.437 0.437 0.190
Ir4 0.938 0.938 0.684
Ir5 0.188 0.188 0.436
Ir6 0.688 0.688 0.937
Ir7 0.437 0.936 0.190
Ir8 0.938 0.441 0.684

Magnetic moment (μB per formula unit): 0.00
ΔE_f (eV per formula unit): -6.27
VASP energy (eV per atom): -7.8902



This record from the Alexandria database describes a geometry-optimized Ba2ZrTlCd structure. The functional is PBE.

Cell lengths 6.499, 5.351, 6.499 Å; angles 90.00, 90.00, 90.00 degrees
Each line ends with the local moment (μB).
Element x y z (fractional)
Tl1 0.000 0.500 0.000  -0.02
Ba1 0.000 0.000 0.500  0.06
Ba2 0.500 0.000 0.000  0.06
Zr1 0.500 0.500 0.500  1.49
Cd1 0.000 0.000 0.000  -0.01

Magnetic moment (μB per formula unit): 2.84
ΔE_f (eV per formula unit): 3.31
VASP energy (eV per atom): -2.4737



This record from the Alexandria database describes a geometry-optimized Ag2Pd2Pt structure. The functional is PBE.

Cell lengths 7.707, 7.707, 2.885 Å; angles 90.00, 90.00, 90.00 degrees
Element x y z (fractional)
Pd1 0.171 0.671 0.500
Pd2 0.671 0.829 0.500
Pd3 0.829 0.329 0.500
Pd4 0.329 0.171 0.500
Ag1 0.372 0.872 0.000
Ag2 0.872 0.628 0.000
Ag3 0.628 0.128 0.000
Ag4 0.128 0.372 0.000
Pt1 0.000 0.000 0.000
Pt2 0.500 0.500 0.000

Magnetic moment (μB per formula unit): 0.00
ΔE_f (eV per formula unit): 1.39
VASP energy (eV per atom): -4.1470



This record from the Alexandria database describes a geometry-optimized K3TcIr structure. The functional is PBE.

Cell lengths 6.101, 6.101, 6.101 Å; angles 90.00, 90.00, 90.00 degrees
Each line ends with the local moment (μB).
Element x y z (fractional)
K1 0.000 0.500 0.000  0.00
K2 0.000 0.000 0.500  -0.01
K3 0.500 0.000 0.000  0.01
Ir1 0.000 0.000 0.000  0.93
Tc1 0.500 0.500 0.500  3.54

Magnetic moment (μB per formula unit): 5.00
ΔE_f (eV per formula unit): 8.31
VASP energy (eV per atom): -2.8418



This record from the Alexandria database describes a geometry-optimized NaSrPt2 structure. The functional is PBE.

Cell lengths 8.009, 8.009, 6.314 Å; angles 50.64, 50.64, 90.00 degrees
Element x y z (fractional)
Sr1 0.000 0.000 0.000
Sr2 0.750 0.250 0.500
Pt1 0.609 0.125 0.250
Pt2 0.141 0.625 0.250
Pt3 0.375 0.391 0.750
Pt4 0.875 0.859 0.750
Na1 0.500 0.500 0.000
Na2 0.250 0.750 0.500

Magnetic moment (μB per formula unit): 0.00
ΔE_f (eV per formula unit): -0.91
VASP energy (eV per atom): -3.9973



This record from the Alexandria database describes a geometry-optimized Li2CuPd2 structure. The functional is PBE.

Cell lengths 6.888, 6.888, 2.949 Å; angles 90.00, 90.00, 90.00 degrees
Element x y z (fractional)
Cu1 0.000 0.000 0.000
Cu2 0.500 0.500 0.000
Pd1 0.356 0.856 0.000
Pd2 0.856 0.644 0.000
Pd3 0.644 0.144 0.000
Pd4 0.144 0.356 0.000
Li1 0.157 0.657 0.500
Li2 0.657 0.843 0.500
Li3 0.843 0.343 0.500
Li4 0.343 0.157 0.500

Magnetic moment (μB per formula unit): 0.00
ΔE_f (eV per formula unit): -0.93
VASP energy (eV per atom): -3.8471



This record from the Alexandria database describes a geometry-optimized ErPaIrO6 structure. The functional is PBE.

Cell lengths 5.391, 5.391, 9.915 Å; angles 90.00, 90.00, 120.00 degrees
Each line ends with the local moment (μB).
Element x y z (fractional)
Er1 0.000 0.000 0.000  0.01
Er2 0.000 0.000 0.500  0.01
Pa1 0.333 0.667 0.250  0.03
Pa2 0.667 0.333 0.750  0.03
Ir1 0.667 0.333 0.250  0.56
Ir2 0.333 0.667 0.750  0.56
O1 0.670 0.646 0.134  0.06
O2 0.976 0.330 0.134  0.06
O3 0.330 0.976 0.634  0.06
O4 0.024 0.670 0.866  0.06
O5 0.354 0.330 0.366  0.06
O6 0.976 0.646 0.366  0.06
O7 0.646 0.976 0.866  0.06
O8 0.670 0.024 0.366  0.06
O9 0.024 0.354 0.634  0.06
O10 0.354 0.024 0.134  0.06
O11 0.646 0.670 0.634  0.06
O12 0.330 0.354 0.866  0.06

Magnetic moment (μB per formula unit): 1.02
E_form (uncorrected) (meV/atom): -2576
VASP energy (eV per atom): -8.4284